IrWO2 | PBE+U | relaxed

Values from the calculation:
For the excess energy over the best structure of this formula in the dataset, the calculation gives 3.22 eV/f.u. The density of states at the Fermi level is 3.60 states/eV per cell.

Unit cell a=6.3318 b=6.3318 c=6.3318 alpha=28.65 beta=28.65 gamma=28.65
Fractional coordinates of all 4 atoms:
Ir (0.0000, 0.0000, 0.0000)
W (0.5000, 0.5000, 0.5000)
O (0.3869, 0.3869, 0.3869)
O (0.6131, 0.6131, 0.6131)